Here is an optimized crystal structure of As7Ir6 from Alexandria. Energies are from PBE.

The structure belongs to space group R-3m (No. 166, hexagonal axes); the cell edges are 5.4761, 5.4761 and 26.1398 Å and the angles 90.00°, 90.00° and 120.00°. The distinct sites, in fractional coordinates, are As at (0.0000, 0.0000, 0.0000), As at (0.0068, 0.5034, 0.4201), Ir at (0.0000, 0.0000, 0.1708), Ir at (0.0000, 0.0000, 0.3262) and Ir at (0.0000, 0.0000, 0.4281).

Its formation energy is 656 meV per atom. The value obtained for the total magnetic moment is 0.0 μB per formula unit. The calculated total energy is -5.938 eV per atom.